Record 1
Entry from Alexandria: Tm3SbS6 after structural relaxation (PBE).

The structure in POSCAR format:
```
Tm3SbS6
1.0
6.7411 0.0000 0.0000
0.0000 8.4358 -0.0266
0.0000 -1.9084 8.2171
Tm Sb S
6 2 12
direct
0.4807 0.9154 0.7128 Tm
0.9807 0.7128 0.9154 Tm
0.3890 0.4051 0.5949 Tm
0.8890 0.5949 0.4051 Tm
0.9807 0.0846 0.2872 Tm
0.4807 0.2872 0.0846 Tm
0.0004 0.1787 0.8213 Sb
0.5004 0.8213 0.1787 Sb
0.1801 0.6959 0.6354 S
0.6801 0.6354 0.6959 S
0.2024 0.4376 0.9003 S
0.7024 0.9003 0.4376 S
0.2537 0.0113 0.9887 S
0.6159 0.2304 0.7696 S
0.1159 0.7696 0.2304 S
0.7537 0.9887 0.0113 S
0.2024 0.0997 0.5624 S
0.7024 0.5624 0.0997 S
0.1801 0.3646 0.3041 S
0.6801 0.3041 0.3646 S
```

## Properties
Energy relative to the lowest polymorph listed for this composition   3.35 kJ/mol of atoms
Total moment   0.00 μB per formula unit
E   -57.8 eV per formula unit

Record 2
Entry from Alexandria: Tm4Sb3S after structural relaxation (PBE).

The structure in POSCAR format:
```
Tm4Sb3S
1.0
-4.4814 -1.9648 3.4834
3.9511 -2.9845 3.3998
0.8788 7.2635 0.0491
Sb S Tm
3 1 4
direct
0.5000 0.5000 0.0000 Sb
0.7500 0.2500 0.5000 Sb
0.2500 0.7500 0.5000 Sb
0.0000 0.0000 0.0000 S
0.0000 0.5000 0.0000 Tm
0.5000 0.0000 0.0000 Tm
0.2386 0.2386 0.4772 Tm
0.7614 0.7614 0.5228 Tm
```

## Properties
DOS at the Fermi energy   2.63 states/eV/f.u.
Total moment   0.00 μB per formula unit
E   -44.3 eV per formula unit

Record 3
Entry from Alexandria: Tm6SbS5 after structural relaxation (PBE).

The structure in POSCAR format:
```
Tm6SbS5
1.0
-4.4605 -0.6329 -5.1586
-2.8108 -6.1895 0.1920
-5.6962 -1.0390 3.5540
Sb S Tm
1 5 6
direct
0.0000 0.0000 0.0000 Sb
0.5000 0.1594 0.6812 S
0.0000 0.3323 0.3353 S
0.5000 0.5000 0.0000 S
0.0000 0.6677 0.6647 S
0.5000 0.8406 0.3188 S
0.7319 0.0895 0.3490 Tm
0.2681 0.5615 0.3490 Tm
0.2636 0.2624 0.0000 Tm
0.7364 0.7376 0.0000 Tm
0.7319 0.4385 0.6510 Tm
0.2681 0.9105 0.6510 Tm
```

## Properties
DOS at the Fermi energy   5.10 states/eV/f.u.
Total moment   0.00 μB per formula unit
E   -72.5 eV per formula unit

Record 4
Entry from Alexandria: Tm5SbS4 after structural relaxation (PBE).

The structure in POSCAR format:
```
Tm5SbS4
1.0
3.8810 0.0000 -0.7487
-0.2892 5.4002 -1.4990
-0.0016 -0.0223 10.4243
Tm Sb S
5 1 4
direct
0.6117 0.1117 0.2234 Tm
0.8008 0.3008 0.6017 Tm
0.1992 0.6992 0.3983 Tm
0.0000 0.5000 0.0000 Tm
0.3883 0.8883 0.7766 Tm
0.0000 0.0000 0.0000 Sb
0.3982 0.3982 0.7963 S
0.7946 0.7946 0.5892 S
0.2054 0.2054 0.4108 S
0.6018 0.6018 0.2037 S
```

## Properties
DOS at the Fermi energy   4.03 states/eV/f.u.
Total moment   0.00 μB per formula unit
E   -60.0 eV per formula unit